This record from Alexandria via LeMat-Bulk describes MnRuF3 after structural relaxation. The functional is GGA+U.

Computed properties:
**Calculated total energy**: -5.587 eV per atom
**Calculated volume**: 74.5 Å³ per cell
**Total moment**: 8.2 Bohr magnetons per cell
**DOS(E_F)**: 2.12 states/eV/atom

CIF file:
```
data_MnRuF3
_chemical_formula_sum 'Mn1 Ru1 F3'
_cell_length_a 4.208
_cell_length_b 4.208
_cell_length_c 4.208
_cell_angle_alpha 90.00
_cell_angle_beta 90.00
_cell_angle_gamma 90.00
_symmetry_space_group_name_H-M 'P m -3 m'
_symmetry_Int_Tables_number 221
_symmetry_space_group_name_Hall '-P 4 2 3'
loop_
_atom_site_label
_atom_site_type_symbol
_atom_site_fract_x
_atom_site_fract_y
_atom_site_fract_z
Mn1 Mn 0.000 0.000 0.000
Ru1 Ru 0.500 0.500 0.500
F1 F 0.000 0.000 0.500
```